[1]
{"formula": "CaCe2ScP4", "functional": "GGA-PBE", "state": "relaxed", "ef_ev_per_atom": -1.3685, "magnetic_moment_mub_per_atom": 0.10, "energy_ev_per_atom": -6.599, "dos_ef_per_ev_cell": 7.39, "lattice_angstrom": [[6.860, 0.000, 0.000], [0.000, 4.039, 0.000], [-2.376, 0.000, 6.615]], "species": ["Ca", "Ce", "Ce", "Sc", "P", "P", "P", "P"], "fractional_positions": [[0.000, 0.000, 0.000], [0.500, 0.000, 0.500], [0.500, 0.500, 0.000], [0.000, 0.500, 0.500], [0.241, 0.000, 0.736], [0.251, 0.500, 0.263], [0.749, 0.500, 0.737], [0.759, 0.000, 0.264]]}

---

[2]
{"formula": "Np2CrAs4Rh3", "functional": "GGA-PBE", "state": "relaxed", "ef_ev_per_atom": -0.4656, "magnetic_moment_mub_per_atom": 1.03, "energy_ev_per_atom": -8.081, "dos_ef_per_ev_cell": 23.13, "lattice_angstrom": [[4.214, 0.000, 0.000], [0.000, 4.214, 0.000], [0.000, 0.000, 10.205]], "species": ["Np", "Np", "Cr", "As", "As", "As", "As", "Rh", "Rh", "Rh"], "fractional_positions": [[0.000, 0.500, 0.244], [0.500, 0.000, 0.756], [0.000, 0.000, 0.500], [0.000, 0.000, 0.000], [0.000, 0.500, 0.636], [0.500, 0.000, 0.364], [0.500, 0.500, 0.000], [0.000, 0.500, 0.875], [0.500, 0.000, 0.125], [0.500, 0.500, 0.500]]}

---

[3]
{"formula": "La2ScCdH", "functional": "GGA-PBE", "state": "relaxed", "magnetic_moment_mub_per_atom": 0.00, "energy_ev_per_atom": -4.274, "dos_ef_per_ev_cell": 5.75, "lattice_angstrom": [[4.953, 0.000, 0.000], [0.000, 4.953, 0.000], [0.000, 0.000, 4.849]], "species": ["La", "La", "Sc", "Cd", "H"], "fractional_positions": [[0.000, 0.500, 0.000], [0.500, 0.000, 0.000], [0.000, 0.000, 0.500], [0.500, 0.500, 0.500], [0.500, 0.500, 0.000]]}

---

[4]
{"formula": "ReAsOF2", "functional": "GGA-PBE", "state": "relaxed", "raw_formation_energy_ev_per_atom": -0.4625, "magnetic_moment_mub_per_atom": 0.23, "energy_ev_per_atom": -5.622, "dos_ef_per_ev_cell": 4.09, "lattice_angstrom": [[4.333, 0.000, 0.000], [0.000, 4.333, 0.000], [0.000, 0.000, 3.775]], "species": ["Re", "As", "O", "F", "F"], "fractional_positions": [[0.000, 0.000, 0.000], [0.500, 0.500, 0.500], [0.000, 0.000, 0.500], [0.000, 0.500, 0.000], [0.500, 0.000, 0.000]]}

---

Q: Which formula does entry 1 have?
A: CaCe2ScP4